(1)
VASP calculation (PBE-GGA) on HfTeSI2 after structural relaxation.

Cell lengths 5.414, 5.414, 5.231 Å; angles 90.00, 90.00, 90.00 degrees
Fractional coordinates of all 5 atoms:
1 Hf 0.000 0.000 0.000
2 Te 0.500 0.500 0.000
3 S 0.500 0.500 0.500
4 I 0.000 0.500 0.500
5 I 0.500 0.000 0.500

Computed properties:
* crystal system: tetragonal
* distance to the lowest polymorph of the same formula: 638 meV per atom
* formation energy (no corrections): 0.77 eV/atom
* symmetry: P4/mmm

=====

(2)
VASP calculation (PBE-GGA) on HfTeSI2 after structural relaxation.

Cell lengths 5.689, 5.689, 5.573 Å; angles 90.00, 90.00, 90.00 degrees
Fractional coordinates of all 5 atoms:
1 Hf 0.000 0.000 0.000
2 Te 0.000 0.000 0.500
3 S 0.500 0.500 0.500
4 I 0.000 0.500 0.000
5 I 0.500 0.000 0.000

Computed properties:
* crystal system: tetragonal
* distance to the lowest polymorph of the same formula: 0 meV per atom
* formation energy (no corrections): 0.13 eV/atom
* symmetry: P4/mmm

=====

(3)
VASP calculation (PBE-GGA) on HfV2SI after structural relaxation.

Cell lengths 4.411, 4.411, 4.904 Å; angles 90.00, 90.00, 90.00 degrees
Fractional coordinates of all 5 atoms:
1 Hf 0.000 0.000 0.000
2 V 0.000 0.500 0.500
3 V 0.500 0.000 0.500
4 S 0.000 0.000 0.500
5 I 0.500 0.500 0.000

Computed properties:
* crystal system: tetragonal
* formation energy (no corrections): 0.29 eV/atom
* symmetry: P4/mmm

=====

(4)
VASP calculation (PBE-GGA) on HfZn2SI after structural relaxation.

Cell lengths 4.465, 4.465, 6.789 Å; angles 90.00, 90.00, 90.00 degrees
Fractional coordinates of all 5 atoms:
1 Hf 0.000 0.000 0.000
2 Zn 0.000 0.500 0.500
3 Zn 0.500 0.000 0.500
4 S 0.500 0.500 0.500
5 I 0.500 0.500 0.000

Computed properties:
* crystal system: tetragonal
* formation energy (no corrections): 0.72 eV/atom
* symmetry: P4/mmm

=====

(5)
VASP calculation (PBE-GGA) on HfZnS2I after structural relaxation.

Cell lengths 4.866, 4.866, 6.024 Å; angles 90.00, 90.00, 90.00 degrees
Fractional coordinates of all 5 atoms:
1 Hf 0.000 0.000 0.000
2 Zn 0.500 0.500 0.500
3 S 0.000 0.500 0.000
4 S 0.500 0.000 0.000
5 I 0.000 0.000 0.500

Computed properties:
* crystal system: tetragonal
* formation energy (no corrections): -0.49 eV/atom
* symmetry: P4/mmm

=====

(6)
VASP calculation (PBE-GGA) on Hf3SbI after structural relaxation.

Cell lengths 5.328, 5.328, 5.328 Å; angles 90.00, 90.00, 90.00 degrees
Fractional coordinates of all 5 atoms:
1 Hf 0.000 0.000 0.500
2 Hf 0.000 0.500 0.000
3 Hf 0.500 0.000 0.000
4 Sb 0.000 0.000 0.000
5 I 0.500 0.500 0.500

Computed properties:
* crystal system: cubic
* distance to the lowest polymorph of the same formula: 0 meV per atom
* formation energy (no corrections): 1.10 eV/atom
* symmetry: Pm-3m

=====

(7)
VASP calculation (PBE-GGA) on HfSbI3 after structural relaxation.

Cell lengths 5.735, 5.735, 5.735 Å; angles 90.00, 90.00, 90.00 degrees
Fractional coordinates of all 5 atoms:
1 Hf 0.000 0.000 0.000
2 Sb 0.500 0.500 0.500
3 I 0.000 0.000 0.500
4 I 0.000 0.500 0.000
5 I 0.500 0.000 0.000

Computed properties:
* crystal system: cubic
* distance to the lowest polymorph of the same formula: 0 meV per atom
* formation energy (no corrections): 0.09 eV/atom
* symmetry: Pm-3m

=====

(8)
VASP calculation (PBE-GGA) on HfSbI3 after structural relaxation.

Cell lengths 6.039, 6.039, 6.039 Å; angles 90.00, 90.00, 90.00 degrees
Fractional coordinates of all 5 atoms:
1 Hf 0.000 0.000 0.000
2 Sb 0.500 0.500 0.500
3 I 0.000 0.500 0.500
4 I 0.500 0.000 0.500
5 I 0.500 0.500 0.000

Computed properties:
* crystal system: cubic
* distance to the lowest polymorph of the same formula: 727 meV per atom
* formation energy (no corrections): 0.82 eV/atom
* symmetry: Pm-3m

=====

(9)
VASP calculation (PBE-GGA) on HfScSb2I after structural relaxation.

Cell lengths 5.542, 5.542, 5.537 Å; angles 90.00, 90.00, 90.00 degrees
Fractional coordinates of all 5 atoms:
1 Hf 0.000 0.000 0.000
2 Sc 0.500 0.500 0.500
3 Sb 0.000 0.500 0.000
4 Sb 0.500 0.000 0.000
5 I 0.000 0.000 0.500

Computed properties:
* crystal system: tetragonal
* distance to the lowest polymorph of the same formula: 0 meV per atom
* formation energy (no corrections): 0.21 eV/atom
* symmetry: P4/mmm

=====

(10)
VASP calculation (PBE-GGA) on HfScSbI2 after structural relaxation.

Cell lengths 5.542, 5.542, 5.737 Å; angles 90.00, 90.00, 90.00 degrees
Fractional coordinates of all 5 atoms:
1 Hf 0.000 0.000 0.000
2 Sc 0.500 0.500 0.500
3 Sb 0.000 0.000 0.500
4 I 0.000 0.500 0.000
5 I 0.500 0.000 0.000

Computed properties:
* crystal system: tetragonal
* distance to the lowest polymorph of the same formula: 0 meV per atom
* formation energy (no corrections): 0.16 eV/atom
* symmetry: P4/mmm

=====

(11)
VASP calculation (PBE-GGA) on HfSbSeI2 after structural relaxation.

Cell lengths 5.800, 5.800, 5.056 Å; angles 90.00, 90.00, 90.00 degrees
Fractional coordinates of all 5 atoms:
1 Hf 0.000 0.000 0.000
2 Sb 0.500 0.500 0.000
3 Se 0.000 0.000 0.500
4 I 0.000 0.500 0.500
5 I 0.500 0.000 0.500

Computed properties:
* crystal system: tetragonal
* distance to the lowest polymorph of the same formula: 518 meV per atom
* formation energy (no corrections): 0.69 eV/atom
* symmetry: P4/mmm

=====

(12)
VASP calculation (PBE-GGA) on HfSb2SeI after structural relaxation.

Cell lengths 5.603, 5.603, 5.390 Å; angles 90.00, 90.00, 90.00 degrees
Fractional coordinates of all 5 atoms:
1 Hf 0.000 0.000 0.000
2 Sb 0.000 0.500 0.000
3 Sb 0.500 0.000 0.000
4 Se 0.500 0.500 0.500
5 I 0.000 0.000 0.500

Computed properties:
* crystal system: tetragonal
* distance to the lowest polymorph of the same formula: 0 meV per atom
* formation energy (no corrections): 0.33 eV/atom
* symmetry: P4/mmm

=====

(13)
VASP calculation (PBE-GGA) on HfSb2SeI after structural relaxation.

Cell lengths 5.319, 5.319, 5.512 Å; angles 90.00, 90.00, 90.00 degrees
Fractional coordinates of all 5 atoms:
1 Hf 0.000 0.000 0.000
2 Sb 0.000 0.500 0.500
3 Sb 0.500 0.000 0.500
4 Se 0.500 0.500 0.500
5 I 0.500 0.500 0.000

Computed properties:
* crystal system: tetragonal
* distance to the lowest polymorph of the same formula: 535 meV per atom
* formation energy (no corrections): 0.86 eV/atom
* symmetry: P4/mmm

=====

(14)
VASP calculation (PBE-GGA) on HfSbSeI2 after structural relaxation.

Cell lengths 5.458, 5.458, 5.863 Å; angles 90.00, 90.00, 90.00 degrees
Fractional coordinates of all 5 atoms:
1 Hf 0.000 0.000 0.000
2 Sb 0.000 0.000 0.500
3 Se 0.500 0.500 0.500
4 I 0.000 0.500 0.000
5 I 0.500 0.000 0.000

Computed properties:
* crystal system: tetragonal
* distance to the lowest polymorph of the same formula: 0 meV per atom
* formation energy (no corrections): 0.18 eV/atom
* symmetry: P4/mmm

=====

(15)
VASP calculation (PBE-GGA) on HfSbSeI2 after structural relaxation.

Cell lengths 5.569, 5.569, 5.467 Å; angles 90.00, 90.00, 90.00 degrees
Fractional coordinates of all 5 atoms:
1 Hf 0.000 0.000 0.000
2 Sb 0.500 0.500 0.000
3 Se 0.500 0.500 0.500
4 I 0.000 0.500 0.500
5 I 0.500 0.000 0.500

Computed properties:
* crystal system: tetragonal
* distance to the lowest polymorph of the same formula: 734 meV per atom
* formation energy (no corrections): 0.91 eV/atom
* symmetry: P4/mmm

=====

(16)
VASP calculation (PBE-GGA) on HfSiSbI2 after structural relaxation.

Cell lengths 5.293, 5.293, 5.400 Å; angles 90.00, 90.00, 90.00 degrees
Fractional coordinates of all 5 atoms:
1 Hf 0.000 0.000 0.000
2 Si 0.500 0.500 0.500
3 Sb 0.500 0.500 0.000
4 I 0.000 0.500 0.500
5 I 0.500 0.000 0.500

Computed properties:
* crystal system: tetragonal
* distance to the lowest polymorph of the same formula: 299 meV per atom
* formation energy (no corrections): 0.81 eV/atom
* symmetry: P4/mmm

=====

(17)
VASP calculation (PBE-GGA) on HfSiSb2I after structural relaxation.

Cell lengths 5.162, 5.162, 5.268 Å; angles 90.00, 90.00, 90.00 degrees
Fractional coordinates of all 5 atoms:
1 Hf 0.000 0.000 0.000
2 Si 0.500 0.500 0.500
3 Sb 0.000 0.500 0.500
4 Sb 0.500 0.000 0.500
5 I 0.500 0.500 0.000

Computed properties:
* crystal system: tetragonal
* distance to the lowest polymorph of the same formula: 122 meV per atom
* formation energy (no corrections): 0.77 eV/atom
* symmetry: P4/mmm

=====

(18)
VASP calculation (PBE-GGA) on HfSiSb2I after structural relaxation.

Cell lengths 5.596, 5.596, 5.481 Å; angles 90.00, 90.00, 90.00 degrees
Fractional coordinates of all 5 atoms:
1 Hf 0.000 0.000 0.000
2 Si 0.500 0.500 0.500
3 Sb 0.000 0.500 0.000
4 Sb 0.500 0.000 0.000
5 I 0.000 0.000 0.500

Computed properties:
* crystal system: tetragonal
* distance to the lowest polymorph of the same formula: 0 meV per atom
* formation energy (no corrections): 0.65 eV/atom
* symmetry: P4/mmm

=====

(19)
VASP calculation (PBE-GGA) on HfSiSbI2 after structural relaxation.

Cell lengths 5.539, 5.539, 5.785 Å; angles 90.00, 90.00, 90.00 degrees
Fractional coordinates of all 5 atoms:
1 Hf 0.000 0.000 0.000
2 Si 0.500 0.500 0.500
3 Sb 0.000 0.000 0.500
4 I 0.000 0.500 0.000
5 I 0.500 0.000 0.000

Computed properties:
* crystal system: tetragonal
* distance to the lowest polymorph of the same formula: 0 meV per atom
* formation energy (no corrections): 0.51 eV/atom
* symmetry: P4/mmm

=====

(20)
VASP calculation (PBE-GGA) on HfSnSbI2 after structural relaxation.

Cell lengths 5.758, 5.758, 5.872 Å; angles 90.00, 90.00, 90.00 degrees
Fractional coordinates of all 5 atoms:
1 Hf 0.000 0.000 0.000
2 Sn 0.500 0.500 0.500
3 Sb 0.500 0.500 0.000
4 I 0.000 0.500 0.500
5 I 0.500 0.000 0.500

Computed properties:
* crystal system: tetragonal
* distance to the lowest polymorph of the same formula: 766 meV per atom
* formation energy (no corrections): 0.88 eV/atom
* symmetry: P4/mmm

=====

(21)
VASP calculation (PBE-GGA) on HfSnSbI2 after structural relaxation.

Cell lengths 5.557, 5.557, 5.782 Å; angles 90.00, 90.00, 90.00 degrees
Fractional coordinates of all 5 atoms:
1 Hf 0.000 0.000 0.000
2 Sn 0.500 0.500 0.500
3 Sb 0.000 0.000 0.500
4 I 0.000 0.500 0.000
5 I 0.500 0.000 0.000

Computed properties:
* crystal system: tetragonal
* distance to the lowest polymorph of the same formula: 0 meV per atom
* formation energy (no corrections): 0.11 eV/atom
* symmetry: P4/mmm

=====

(22)
VASP calculation (PBE-GGA) on HfTaSbI2 after structural relaxation.

Cell lengths 5.387, 5.387, 5.533 Å; angles 90.00, 90.00, 90.00 degrees
Fractional coordinates of all 5 atoms:
1 Hf 0.000 0.000 0.000
2 Ta 0.500 0.500 0.500
3 Sb 0.500 0.500 0.000
4 I 0.000 0.500 0.500
5 I 0.500 0.000 0.500

Computed properties:
* crystal system: tetragonal
* distance to the lowest polymorph of the same formula: 0 meV per atom
* formation energy (no corrections): 1.01 eV/atom
* symmetry: P4/mmm

=====

(23)
VASP calculation (PBE-GGA) on HfTaSb2I after structural relaxation.

Cell lengths 5.360, 5.360, 5.429 Å; angles 90.00, 90.00, 90.00 degrees
Fractional coordinates of all 5 atoms:
1 Hf 0.000 0.000 0.000
2 Ta 0.500 0.500 0.500
3 Sb 0.000 0.500 0.500
4 Sb 0.500 0.000 0.500
5 I 0.500 0.500 0.000

Computed properties:
* crystal system: tetragonal
* distance to the lowest polymorph of the same formula: 0 meV per atom
* formation energy (no corrections): 0.94 eV/atom
* symmetry: P4/mmm

=====

(24)
VASP calculation (PBE-GGA) on Hf2TcSbI after structural relaxation.

Cell lengths 5.147, 5.147, 4.946 Å; angles 90.00, 90.00, 90.00 degrees
Fractional coordinates of all 5 atoms:
1 Hf 0.000 0.500 0.000
2 Hf 0.500 0.000 0.000
3 Tc 0.000 0.000 0.000
4 Sb 0.500 0.500 0.500
5 I 0.000 0.000 0.500

Computed properties:
* crystal system: tetragonal
* formation energy (no corrections): 0.62 eV/atom
* symmetry: P4/mmm

=====

(25)
VASP calculation (PBE-GGA) on HfSbTe2I after structural relaxation.

Cell lengths 5.740, 5.740, 5.673 Å; angles 90.00, 90.00, 90.00 degrees
Fractional coordinates of all 5 atoms:
1 Hf 0.000 0.000 0.000
2 Sb 0.500 0.500 0.500
3 Te 0.000 0.500 0.500
4 Te 0.500 0.000 0.500
5 I 0.500 0.500 0.000

Computed properties:
* crystal system: tetragonal
* distance to the lowest polymorph of the same formula: 877 meV per atom
* formation energy (no corrections): 0.86 eV/atom
* symmetry: P4/mmm

=====

(26)
VASP calculation (PBE-GGA) on HfSbTe2I after structural relaxation.

Cell lengths 5.473, 5.473, 5.782 Å; angles 90.00, 90.00, 90.00 degrees
Fractional coordinates of all 5 atoms:
1 Hf 0.000 0.000 0.000
2 Sb 0.000 0.000 0.500
3 Te 0.000 0.500 0.000
4 Te 0.500 0.000 0.000
5 I 0.500 0.500 0.500

Computed properties:
* crystal system: tetragonal
* distance to the lowest polymorph of the same formula: 0 meV per atom
* formation energy (no corrections): -0.02 eV/atom
* symmetry: P4/mmm

=====

(27)
VASP calculation (PBE-GGA) on HfSb2TeI after structural relaxation.

Cell lengths 5.620, 5.620, 5.436 Å; angles 90.00, 90.00, 90.00 degrees
Fractional coordinates of all 5 atoms:
1 Hf 0.000 0.000 0.000
2 Sb 0.000 0.500 0.000
3 Sb 0.500 0.000 0.000
4 Te 0.000 0.000 0.500
5 I 0.500 0.500 0.500

Computed properties:
* crystal system: tetragonal
* distance to the lowest polymorph of the same formula: 0 meV per atom
* formation energy (no corrections): 0.08 eV/atom
* symmetry: P4/mmm

=====

(28)
VASP calculation (PBE-GGA) on HfSb2TeI after structural relaxation.

Cell lengths 5.652, 5.652, 5.396 Å; angles 90.00, 90.00, 90.00 degrees
Fractional coordinates of all 5 atoms:
1 Hf 0.000 0.000 0.000
2 Sb 0.000 0.500 0.000
3 Sb 0.500 0.000 0.000
4 Te 0.500 0.500 0.500
5 I 0.000 0.000 0.500

Computed properties:
* crystal system: tetragonal
* distance to the lowest polymorph of the same formula: 151 meV per atom
* formation energy (no corrections): 0.23 eV/atom
* symmetry: P4/mmm

=====

(29)
VASP calculation (PBE-GGA) on HfSbTe2I after structural relaxation.

Cell lengths 5.598, 5.598, 5.524 Å; angles 90.00, 90.00, 90.00 degrees
Fractional coordinates of all 5 atoms:
1 Hf 0.000 0.000 0.000
2 Sb 0.500 0.500 0.500
3 Te 0.000 0.500 0.000
4 Te 0.500 0.000 0.000
5 I 0.000 0.000 0.500

Computed properties:
* crystal system: tetragonal
* distance to the lowest polymorph of the same formula: 98 meV per atom
* formation energy (no corrections): 0.08 eV/atom
* symmetry: P4/mmm

=====

| no. | spin magnetization (μB/atom) |
| --- | --- |
| 1 | 0.2658 |
| 2 | 0.4092 |
| 3 | 0.3287 |
| 4 | 0.0000 |
| 5 | 0.0000 |
| 6 | 0.0000 |
| 7 | 0.6126 |
| 8 | 0.2739 |
| 9 | 0.1322 |
| 10 | 0.2698 |
| 11 | 0.0001 |
| 12 | 0.0000 |
| 13 | 0.0001 |
| 14 | 0.0841 |
| 15 | 0.1865 |
| 16 | 0.1824 |
| 17 | 0.0000 |
| 18 | 0.0692 |
| 19 | 0.1824 |
| 20 | 0.2152 |
| 21 | 0.0548 |
| 22 | 0.2605 |
| 23 | 0.2664 |
| 24 | 0.0000 |
| 25 | 0.2170 |
| 26 | 0.0000 |
| 27 | 0.0000 |
| 28 | 0.0000 |
| 29 | 0.0000 |